Record 1
The following is a PBE calculation of an optimized crystal structure of MnVCr2Br, from the Alexandria database.

## Properties
For the energy, the calculation gives -33.71 eV for the cell shown. The total magnetization is 5.842 μB/cell. The space-group type is P4/mmm, No. 123.

Lattice parameters (Å, degrees): 4.623 4.623 4.326 90.00 90.00 90.00
Atoms (fractional coordinates):
Mn 0.000 0.000 0.000
V 0.000 0.000 0.500
Cr 0.000 0.500 0.000
Cr 0.500 0.000 0.000
Br 0.500 0.500 0.500



Record 2
The following is a PBE calculation of an optimized crystal structure of PmNd4Rh5, from the Alexandria database.

## Properties
The value obtained for the formation energy is -641 meV/atom. For the energy, the calculation gives -66.98 eV for the cell shown. The total magnetization is 0.000 μB/cell. The space-group type is P4/mmm, No. 123.

Lattice parameters (Å, degrees): 3.577 3.577 17.303 90.00 90.00 90.00
Atoms (fractional coordinates):
Pm 0.000 0.000 0.000
Nd 0.000 0.000 0.199
Nd 0.000 0.000 0.400
Nd 0.000 0.000 0.600
Nd 0.000 0.000 0.801
Rh 0.500 0.500 0.098
Rh 0.500 0.500 0.299
Rh 0.500 0.500 0.500
Rh 0.500 0.500 0.701
Rh 0.500 0.500 0.902



Record 3
The following is a PBE calculation of an optimized crystal structure of RbBaTl2O4, from the Alexandria database.

## Properties
For the energy, the calculation gives -37.02 eV for the cell shown. The total magnetization is 0.000 μB/cell. The space-group type is P4/mmm, No. 123.

Lattice parameters (Å, degrees): 4.554 4.554 7.871 90.00 90.00 90.00
Atoms (fractional coordinates):
Rb 0.000 0.000 0.000
Ba 0.000 0.000 0.500
Tl 0.500 0.500 0.257
Tl 0.500 0.500 0.743
O 0.000 0.500 0.275
O 0.000 0.500 0.725
O 0.500 0.000 0.275
O 0.500 0.000 0.725



Record 4
The following is a PBE calculation of an optimized crystal structure of NaBe2P2O7, from the Alexandria database.

## Properties
For the energy, the calculation gives -79.66 eV for the cell shown. The total magnetization is 0.438 μB/cell. The space-group type is R32, No. 155.

Lattice parameters (Å, degrees): 7.862 7.862 7.862 36.65 36.65 36.65
Atoms (fractional coordinates):
Na 0.000 0.000 0.000
Be 0.242 0.242 0.242
Be 0.758 0.758 0.758
P 0.428 0.428 0.428
P 0.572 0.572 0.572
O 0.083 0.477 0.661
O 0.339 0.523 0.917
O 0.477 0.661 0.083
O 0.500 0.500 0.500
O 0.523 0.917 0.339
O 0.661 0.083 0.477
O 0.917 0.339 0.523



Record 5
The following is a PBE calculation of an optimized crystal structure of Pm3Y2HoTe6, from the Alexandria database.

## Properties
For the energy, the calculation gives -66.83 eV for the cell shown. The total magnetization is 0.000 μB/cell. The space-group type is C2/m, No. 12.

Lattice parameters (Å, degrees): 9.886 9.886 8.894 103.69 103.69 25.59
Atoms (fractional coordinates):
Pm 0.000 0.000 0.000
Pm 0.332 0.332 0.666
Pm 0.668 0.668 0.334
Y 0.333 0.333 0.166
Y 0.667 0.667 0.834
Ho 0.000 0.000 0.500
Te 0.164 0.164 0.588
Te 0.168 0.168 0.079
Te 0.498 0.498 0.257
Te 0.502 0.502 0.743
Te 0.832 0.832 0.921
Te 0.836 0.836 0.412



Record 6
The following is a PBE calculation of an optimized crystal structure of HoTc2, from the Alexandria database.

## Properties
The value obtained for the formation energy is 19 meV/atom. For the energy, the calculation gives -25.25 eV for the cell shown. The total magnetization is 0.000 μB/cell. The value obtained for the energy above the lowest structure with this stoichiometry is 0.224 eV/atom. The space-group type is I4/mmm, No. 139.

Lattice parameters (Å, degrees): 6.057 6.057 6.057 149.98 149.98 42.97
Atoms (fractional coordinates):
Ho 0.000 0.000 0.000
Tc 0.308 0.308 0.000
Tc 0.692 0.692 0.000



Record 7
The following is a PBE calculation of an optimized crystal structure of Cr3ReGe, from the Alexandria database.

## Properties
The value obtained for the formation energy is 1354 meV/atom. For the energy, the calculation gives -39.17 eV for the cell shown. The total magnetization is 8.492 μB/cell. The value obtained for the energy above the lowest structure with this stoichiometry is 0.000 eV/atom. The space-group type is Pm-3m, No. 221.

Lattice parameters (Å, degrees): 4.677 4.677 4.677 90.00 90.00 90.00
Atoms (fractional coordinates):
Cr 0.000 0.000 0.500
Cr 0.000 0.500 0.000
Cr 0.500 0.000 0.000
Re 0.000 0.000 0.000
Ge 0.500 0.500 0.500



Record 8
The following is a PBE calculation of an optimized crystal structure of Hf2V6Os, from the Alexandria database.

## Properties
The value obtained for the formation energy is -32 meV/atom. For the energy, the calculation gives -86.13 eV for the cell shown. The total magnetization is 0.000 μB/cell. The space-group type is P-3m1, No. 164.

Lattice parameters (Å, degrees): 5.394 5.394 5.643 90.00 90.00 120.00
Atoms (fractional coordinates):
Hf 0.333 0.667 0.388
Hf 0.667 0.333 0.612
V 0.176 0.351 0.842
V 0.176 0.824 0.842
V 0.351 0.176 0.158
V 0.649 0.824 0.842
V 0.824 0.176 0.158
V 0.824 0.649 0.158
Os 0.000 0.000 0.500



Record 9
The following is a PBE calculation of an optimized crystal structure of LiTcPt2, from the Alexandria database.

## Properties
The value obtained for the formation energy is -329 meV/atom. For the energy, the calculation gives -25.68 eV for the cell shown. The total magnetization is 0.000 μB/cell. The value obtained for the energy above the lowest structure with this stoichiometry is 0.011 eV/atom. The space-group type is P4/mmm, No. 123.

Lattice parameters (Å, degrees): 2.758 2.758 7.586 90.00 90.00 90.00
Atoms (fractional coordinates):
Li 0.000 0.000 0.000
Tc 0.000 0.000 0.500
Pt 0.500 0.500 0.249
Pt 0.500 0.500 0.751



Record 10
The following is a PBE calculation of an optimized crystal structure of TlCrOs2N, from the Alexandria database.

## Properties
For the energy, the calculation gives -30.12 eV for the cell shown. The total magnetization is 3.395 μB/cell. The space-group type is P4/mmm, No. 123.

Lattice parameters (Å, degrees): 4.419 4.419 5.309 90.00 90.00 90.00
Atoms (fractional coordinates):
Tl 0.000 0.000 0.000
Cr 0.000 0.000 0.500
Os 0.000 0.500 0.500
Os 0.500 0.000 0.500
N 0.500 0.500 0.000



Record 11
The following is a PBE calculation of an optimized crystal structure of TaPtRh2, from the Alexandria database.

## Properties
The value obtained for the formation energy is -382 meV/atom. For the energy, the calculation gives -34.12 eV for the cell shown. The total magnetization is 0.000 μB/cell. The space-group type is Cm, No. 8.

Lattice parameters (Å, degrees): 4.847 4.847 4.746 100.70 100.70 34.32
Atoms (fractional coordinates):
Ta 0.000 0.000 0.000
Pt 0.251 0.251 0.745
Rh 0.497 0.497 0.492
Rh 0.745 0.745 0.245



Record 12
The following is a PBE calculation of an optimized crystal structure of Pr2SmCo, from the Alexandria database.

## Properties
The value obtained for the formation energy is -58 meV/atom. For the energy, the calculation gives -86.46 eV for the cell shown. The total magnetization is 0.000 μB/cell. The value obtained for the energy above the lowest structure with this stoichiometry is 0.000 eV/atom. The space-group type is Pnma, No. 62.

Lattice parameters (Å, degrees): 7.131 10.011 6.399 90.00 90.00 90.00
Atoms (fractional coordinates):
Pr 0.171 0.071 0.176
Pr 0.171 0.429 0.176
Pr 0.329 0.571 0.676
Pr 0.329 0.929 0.676
Pr 0.671 0.071 0.324
Pr 0.671 0.429 0.324
Pr 0.829 0.571 0.824
Pr 0.829 0.929 0.824
Sm 0.045 0.250 0.654
Sm 0.455 0.750 0.154
Sm 0.545 0.250 0.846
Sm 0.955 0.750 0.346
Co 0.117 0.750 0.945
Co 0.383 0.250 0.445
Co 0.617 0.750 0.555
Co 0.883 0.250 0.055



Record 13
The following is a PBE calculation of an optimized crystal structure of PmPr2PO8, from the Alexandria database.

## Properties
For the energy, the calculation gives -88.05 eV for the cell shown. The total magnetization is 2.019 μB/cell. The space-group type is P-3m1, No. 164.

Lattice parameters (Å, degrees): 5.263 5.263 6.406 90.00 90.00 120.00
Atoms (fractional coordinates):
Pm 0.000 0.000 0.000
Pr 0.333 0.667 0.362
Pr 0.667 0.333 0.638
P 0.000 0.000 0.500
O 0.152 0.304 0.658
O 0.152 0.848 0.658
O 0.304 0.152 0.342
O 0.333 0.667 0.023
O 0.667 0.333 0.977
O 0.696 0.848 0.658
O 0.848 0.152 0.342
O 0.848 0.696 0.342



Record 14
The following is a PBE calculation of an optimized crystal structure of MgTaSn, from the Alexandria database.

## Properties
The value obtained for the formation energy is -86 meV/atom. For the energy, the calculation gives -35.42 eV for the cell shown. The total magnetization is 0.000 μB/cell. The space-group type is P4/nmm, No. 129.

Lattice parameters (Å, degrees): 4.166 4.166 7.359 90.00 90.00 90.00
Atoms (fractional coordinates):
Mg 0.250 0.250 0.181
Mg 0.750 0.750 0.819
Ta 0.250 0.750 0.500
Ta 0.750 0.250 0.500
Sn 0.250 0.250 0.784
Sn 0.750 0.750 0.216



Record 15
The following is a PBE calculation of an optimized crystal structure of MgPbAu2, from the Alexandria database.

## Properties
The value obtained for the formation energy is -311 meV/atom. For the energy, the calculation gives -13.10 eV for the cell shown. The total magnetization is 0.000 μB/cell. The space-group type is Pmmm, No. 47.

Lattice parameters (Å, degrees): 3.428 3.518 7.035 90.00 90.00 90.00
Atoms (fractional coordinates):
Mg 0.000 0.000 0.000
Pb 0.000 0.000 0.500
Au 0.500 0.500 0.207
Au 0.500 0.500 0.793



Record 16
The following is a PBE calculation of an optimized crystal structure of KGaPb, from the Alexandria database.

## Properties
The value obtained for the formation energy is -21 meV/atom. For the energy, the calculation gives -31.58 eV for the cell shown. The total magnetization is 0.000 μB/cell. The space-group type is Pnma, No. 62.

Lattice parameters (Å, degrees): 7.271 4.729 11.978 90.00 90.00 90.00
Atoms (fractional coordinates):
K 0.117 0.250 0.125
K 0.383 0.750 0.625
K 0.617 0.250 0.375
K 0.883 0.750 0.875
Ga 0.031 0.250 0.688
Ga 0.469 0.750 0.188
Ga 0.531 0.250 0.812
Ga 0.969 0.750 0.312
Pb 0.126 0.250 0.442
Pb 0.374 0.750 0.942
Pb 0.626 0.250 0.058
Pb 0.874 0.750 0.558



Record 17
The following is a PBE calculation of an optimized crystal structure of LiCaN2F, from the Alexandria database.

## Properties
For the energy, the calculation gives -21.92 eV for the cell shown. The total magnetization is 4.000 μB/cell. The value obtained for the energy above the lowest structure with this stoichiometry is 0.275 eV/atom. The space-group type is P4/mmm, No. 123.

Lattice parameters (Å, degrees): 4.749 4.749 4.350 90.00 90.00 90.00
Atoms (fractional coordinates):
Li 0.000 0.000 0.000
Ca 0.500 0.500 0.500
N 0.000 0.500 0.500
N 0.500 0.000 0.500
F 0.500 0.500 0.000



Record 18
The following is a PBE calculation of an optimized crystal structure of TlBAsS2, from the Alexandria database.

## Properties
For the energy, the calculation gives -14.60 eV for the cell shown. The total magnetization is 0.000 μB/cell. The space-group type is P4/mmm, No. 123.

Lattice parameters (Å, degrees): 5.294 5.294 4.230 90.00 90.00 90.00
Atoms (fractional coordinates):
Tl 0.000 0.000 0.000
B 0.000 0.000 0.500
As 0.500 0.500 0.500
S 0.000 0.500 0.000
S 0.500 0.000 0.000



Record 19
The following is a PBE calculation of an optimized crystal structure of TaInNO2, from the Alexandria database.

## Properties
For the energy, the calculation gives -39.74 eV for the cell shown. The total magnetization is 0.000 μB/cell. The space-group type is P4/mmm, No. 123.

Lattice parameters (Å, degrees): 3.955 3.955 4.271 90.00 90.00 90.00
Atoms (fractional coordinates):
Ta 0.000 0.000 0.000
In 0.500 0.500 0.500
N 0.000 0.000 0.500
O 0.000 0.500 0.000
O 0.500 0.000 0.000



Record 20
The following is a PBE calculation of an optimized crystal structure of K4ICl2, from the Alexandria database.

## Properties
For the energy, the calculation gives -20.16 eV for the cell shown. The total magnetization is 0.000 μB/cell. The value obtained for the energy above the lowest structure with this stoichiometry is 0.000 eV/atom. The space-group type is R-3m, No. 166.

Lattice parameters (Å, degrees): 16.004 16.004 16.004 16.77 16.77 16.77
Atoms (fractional coordinates):
K 0.124 0.124 0.124
K 0.286 0.286 0.286
K 0.714 0.714 0.714
K 0.876 0.876 0.876
I 0.000 0.000 0.000
Cl 0.419 0.419 0.419
Cl 0.581 0.581 0.581